First-principles (PBE) data for an optimized crystal structure of Ba3HgSb2O9, as listed in Alexandria.

Calculated values
uncorrected formation energy = -1869 meV per atom
electronic total energy = -5.798 eV/atom
calculated volume = 15.4 Å³/atom

Cell lengths 5.9850, 5.9850, 7.4442 Å; angles 90.00, 90.00, 120.00 degrees
Closest atoms and distances in Å follow each position.
Atoms (fractional coordinates):
Ba 0.3333 0.6667 0.6573  12 O 3.00-3.08
Ba 0.0000 0.0000 0.0000  12 O 2.94-2.99
Ba 0.6667 0.3333 0.3427  12 O 3.00-3.08
Hg 0.0000 0.0000 0.5000  6 O 2.31
Sb 0.3333 0.6667 0.1619  6 O 1.97-2.11
Sb 0.6667 0.3333 0.8381  6 O 1.97-2.11
O 0.8241 0.1759 0.6904  1 Sb 1.97
O 0.8241 0.6482 0.6904  1 Sb 1.97
O 0.3518 0.1759 0.6904  1 Sb 1.97
O 0.6482 0.8241 0.3096  1 Sb 1.97
O 0.1759 0.3518 0.3096  1 Sb 1.97
O 0.1759 0.8241 0.3096  1 Sb 1.97
O 0.5000 0.0000 0.0000  2 Sb 2.11
O 0.0000 0.5000 0.0000  2 Sb 2.11
O 0.5000 0.5000 0.0000  2 Sb 2.11



First-principles (PBE) data for an optimized crystal structure of BaHg2SeO2, as listed in Alexandria.

Calculated values
uncorrected formation energy = -964 meV per atom
electronic total energy = -3.619 eV/atom
calculated volume = 36.8 Å³/atom

Cell lengths 6.3325, 8.6159, 9.6215 Å; angles 122.62, 90.00, 90.00 degrees
Closest atoms and distances in Å follow each position.
Atoms (fractional coordinates):
Ba 0.2500 0.1819 0.0893  4 O 2.61-2.62
Ba 0.7500 0.8181 0.9107  4 O 2.61-2.62
Hg 0.2500 0.8697 0.2386  2 O 2.25, 1 Se 2.51
Hg 0.2500 0.8718 0.6374  2 O 2.25, 1 Se 2.51
Hg 0.7500 0.1303 0.7614  2 O 2.25, 1 Se 2.51
Hg 0.7500 0.1282 0.3626  2 O 2.25, 1 Se 2.51
Se 0.7500 0.3536 0.6698  2 Hg 2.51
Se 0.2500 0.6464 0.3302  2 Hg 2.51
O 0.5000 0.9983 0.1661  2 Hg 2.25
O 0.0000 0.9983 0.1661  2 Hg 2.25
O 0.0000 0.0017 0.8339  2 Hg 2.25
O 0.5000 0.0017 0.8339  2 Hg 2.25



First-principles (PBE) data for an optimized crystal structure of BaHgSeO4, as listed in Alexandria.

Calculated values
uncorrected formation energy = -782 meV per atom
electronic total energy = -4.431 eV/atom
calculated volume = 31.1 Å³/atom

Cell lengths 6.7502, 6.7502, 6.7502 Å; angles 60.00, 60.00, 60.00 degrees
Closest atoms and distances in Å follow each position.
Atoms (fractional coordinates):
Ba 0.7500 0.7500 0.7500  12 O 4.04, 4 Hg 4.13
Hg 0.5000 0.5000 0.5000  4 O 2.44
Se 0.2500 0.2500 0.2500  4 O 1.70
O 0.3525 0.3525 0.9425  1 Se 1.70
O 0.3525 0.3525 0.3525  1 Se 1.70
O 0.3525 0.9425 0.3525  1 Se 1.70
O 0.9425 0.3525 0.3525  1 Se 1.70



First-principles (PBE) data for an optimized crystal structure of BaHgSe2O8, as listed in Alexandria.

Calculated values
uncorrected formation energy = -1070 meV per atom
electronic total energy = -5.141 eV/atom
calculated volume = 15.9 Å³/atom

Cell lengths 5.2854, 5.2854, 8.4508 Å; angles 71.78, 71.78, 60.00 degrees
Closest atoms and distances in Å follow each position.
Atoms (fractional coordinates):
Ba 0.5000 0.5000 0.5000  12 O 3.05-3.07
Hg 0.0000 0.0000 0.0000  6 O 2.42
Se 0.2512 0.2512 0.2464  4 O 1.68
Se 0.7488 0.7488 0.7536  4 O 1.68
O 0.1802 0.1802 0.4593  1 Se 1.68
O 0.5646 0.2947 0.1842  1 Se 1.68
O 0.8198 0.8198 0.5407  1 Se 1.68
O 0.9565 0.5646 0.1842  1 Se 1.68
O 0.0435 0.4354 0.8158  1 Se 1.68
O 0.2947 0.9565 0.1842  1 Se 1.68
O 0.7053 0.0435 0.8158  1 Se 1.68
O 0.4354 0.7053 0.8158  1 Se 1.68